Entry 1:
Density functional theory data (GGA-PBE) for a geometry-optimized InAg5Au12 structure.

Values from the calculation:
- Calculated density: 15.1 g cm⁻³
- Formation enthalpy at 0 K: -0.030 eV/atom
- Spin magnetization: 0.00 μB/f.u.
- Calculated total energy: -56.867 eV/cell

a = 8.6788 Å, b = 8.6788 Å, c = 5.0637 Å
α = 90.00°, β = 90.00°, γ = 119.72°
Closest atoms and distances in Å follow each position.
Fractional positions:
In: 0.0000 0.0000 0.0000  10 Au 2.91-2.92
Ag: 0.1687 0.8313 0.5000  10 Au 2.87-2.92
Ag: 0.3338 0.6662 0.0000  10 Au 2.88-2.92
Ag: 0.5000 0.5000 0.5000  10 Au 2.89-2.92
Ag: 0.6662 0.3338 0.0000  10 Au 2.88-2.92
Ag: 0.8313 0.1687 0.5000  10 Au 2.87-2.92
Au: 0.9995 0.3353 0.0000  5 Au 2.86-2.92, 4 Ag 2.89-2.92, 1 In 2.91
Au: 0.0005 0.6647 0.0000  5 Au 2.86-2.92, 4 Ag 2.89-2.92, 1 In 2.91
Au: 0.1667 0.1667 0.5000  5 Au 2.89-2.92, 3 Ag 2.90-2.92, 2 In 2.92
Au: 0.1670 0.5001 0.5000  5 Ag 2.87-2.92, 5 Au 2.89-2.92
Au: 0.3342 0.3342 0.0000  4 Ag 2.88-2.92, 5 Au 2.89-2.92, 1 In 2.91
Au: 0.3353 0.9995 0.0000  5 Au 2.86-2.92, 4 Ag 2.89-2.92, 1 In 2.91
Au: 0.5001 0.1670 0.5000  5 Ag 2.87-2.92, 5 Au 2.89-2.92
Au: 0.4999 0.8330 0.5000  5 Ag 2.87-2.92, 5 Au 2.89-2.92
Au: 0.6647 0.0005 0.0000  5 Au 2.86-2.92, 4 Ag 2.89-2.92, 1 In 2.91
Au: 0.6658 0.6658 0.0000  4 Ag 2.88-2.92, 5 Au 2.89-2.92, 1 In 2.91
Au: 0.8330 0.4999 0.5000  5 Ag 2.87-2.92, 5 Au 2.89-2.92
Au: 0.8333 0.8333 0.5000  5 Au 2.89-2.92, 3 Ag 2.90-2.92, 2 In 2.92

---

Entry 2:
Density functional theory data (GGA-PBE) for a geometry-optimized InAgAu4 structure.

Values from the calculation:
- Energy relative to the lowest polymorph listed for this composition: 0 kJ/mol of formula units
- Calculated density: 15.0 g cm⁻³
- Formation enthalpy at 0 K: -0.088 eV/atom
- Spin magnetization: 0.00 μB/f.u.
- Calculated total energy: -19.225 eV/cell

a = 5.2766 Å, b = 5.2766 Å, c = 5.0224 Å
α = 98.18°, β = 98.18°, γ = 123.05°
Closest atoms and distances in Å follow each position.
Fractional positions:
In: 0.0000 0.0000 0.0000  10 Au 2.95-3.11, 2 Ag 2.98
Ag: 0.5000 0.5000 0.5000  10 Au 2.94-3.09, 2 In 2.98
Au: 0.1665 0.8335 0.5000  2 In 2.95, 3 Ag 2.95-3.09, 7 Au 2.95-3.09
Au: 0.3349 0.6651 0.0000  2 Ag 2.94, 3 In 2.95-3.11, 7 Au 2.96-3.06
Au: 0.6651 0.3349 0.0000  2 Ag 2.94, 3 In 2.95-3.11, 7 Au 2.96-3.06
Au: 0.8335 0.1665 0.5000  2 In 2.95, 3 Ag 2.95-3.09, 7 Au 2.95-3.09

---

Entry 3:
Density functional theory data (GGA-PBE) for a geometry-optimized In3Ag2Au8 structure.

Values from the calculation:
- Energy relative to the lowest polymorph listed for this composition: 108 kJ/mol of formula units
- Calculated density: 12.9 g cm⁻³
- Formation enthalpy at 0 K: 0.022 eV/atom
- Spin magnetization: 0.00 μB/f.u.
- Calculated total energy: -39.846 eV/cell

a = 10.8771 Å, b = 10.8771 Å, c = 10.8771 Å
α = 29.42°, β = 29.42°, γ = 29.42°
Closest atoms and distances in Å follow each position.
Fractional positions:
In: 0.0000 0.0000 0.0000  6 Ag 3.32, 12 Au 3.64-3.70
In: 0.1871 0.1871 0.1871  10 Au 2.80-3.02
In: 0.8129 0.8129 0.8129  10 Au 2.80-3.02
Ag: 0.3628 0.3628 0.3628  4 Au 2.68-2.89
Ag: 0.6372 0.6372 0.6372  4 Au 2.68-2.89
Au: 0.2270 0.7262 0.7262  4 Au 2.76-2.77, 1 Ag 2.89, 3 In 2.97-3.02
Au: 0.2738 0.2738 0.7730  4 Au 2.76-2.77, 1 Ag 2.89, 3 In 2.97-3.02
Au: 0.2738 0.7730 0.2738  4 Au 2.76-2.77, 1 Ag 2.89, 3 In 2.97-3.02
Au: 0.2768 0.2768 0.2768  1 Ag 2.68, 1 In 2.80
Au: 0.7232 0.7232 0.7232  1 Ag 2.68, 1 In 2.80
Au: 0.7262 0.2270 0.7262  4 Au 2.76-2.77, 1 Ag 2.89, 3 In 2.97-3.02
Au: 0.7262 0.7262 0.2270  4 Au 2.76-2.77, 1 Ag 2.89, 3 In 2.97-3.02
Au: 0.7730 0.2738 0.2738  4 Au 2.76-2.77, 1 Ag 2.89, 3 In 2.97-3.02

---

Entry 4:
Density functional theory data (GGA-PBE) for a geometry-optimized InAg2Au2 structure.

Values from the calculation:
- Energy relative to the lowest polymorph listed for this composition: 0 kJ/mol of formula units
- Calculated density: 12.8 g cm⁻³
- Formation enthalpy at 0 K: -0.108 eV/atom
- Spin magnetization: 0.00 μB/f.u.
- Calculated total energy: -31.068 eV/cell

a = 5.6670 Å, b = 5.6670 Å, c = 7.6568 Å
α = 110.06°, β = 110.06°, γ = 55.93°
Closest atoms and distances in Å follow each position.
Fractional positions:
In: 0.1473 0.8527 0.7500  6 Au 2.91-2.98, 6 Ag 3.02-3.06
In: 0.8527 0.1473 0.2500  6 Au 2.91-2.98, 6 Ag 3.02-3.06
Ag: 0.2461 0.5493 0.0506  6 Au 2.92-3.12, 3 Ag 2.94, 3 In 3.02-3.06
Ag: 0.4507 0.7539 0.4494  6 Au 2.92-3.12, 3 Ag 2.94, 3 In 3.02-3.06
Ag: 0.5493 0.2461 0.5506  6 Au 2.92-3.12, 3 Ag 2.94, 3 In 3.02-3.06
Ag: 0.7539 0.4507 0.9494  6 Au 2.92-3.12, 3 Ag 2.94, 3 In 3.02-3.06
Au: 0.0304 0.3669 0.6528  3 In 2.91-2.98, 6 Ag 2.92-3.12, 3 Au 3.02-3.03
Au: 0.3669 0.0304 0.1528  3 In 2.91-2.98, 6 Ag 2.92-3.12, 3 Au 3.02-3.03
Au: 0.6331 0.9696 0.8472  3 In 2.91-2.98, 6 Ag 2.92-3.12, 3 Au 3.02-3.03
Au: 0.9696 0.6331 0.3472  3 In 2.91-2.98, 6 Ag 2.92-3.12, 3 Au 3.02-3.03

---

Entry 5:
Density functional theory data (GGA-PBE) for a geometry-optimized InAg2Au structure.

Values from the calculation:
- Calculated density: 11.4 g cm⁻³
- Formation enthalpy at 0 K: -0.043 eV/atom
- Spin magnetization: 0.00 μB/f.u.
- Calculated total energy: -11.891 eV/cell

a = 3.0283 Å, b = 4.3818 Å, c = 5.7762 Å
α = 90.00°, β = 90.00°, γ = 90.00°
Closest atoms and distances in Å follow each position.
Fractional positions:
In: 0.0000 0.0000 0.0000  2 Au 2.89, 2 In 3.03, 8 Ag 3.04
Ag: 0.5000 0.5000 0.2547  4 Ag 2.83-3.03, 4 Au 3.02, 4 In 3.04
Ag: 0.5000 0.5000 0.7453  4 Ag 2.83-3.03, 4 Au 3.02, 4 In 3.04
Au: 0.0000 0.0000 0.5000  2 In 2.89, 8 Ag 3.02, 2 Au 3.03

---

Entry 6:
Density functional theory data (GGA-PBE) for a geometry-optimized In3AgAu6 structure.

Values from the calculation:
- Energy relative to the lowest polymorph listed for this composition: 43 kJ/mol of formula units
- Calculated density: 13.2 g cm⁻³
- Formation enthalpy at 0 K: -0.080 eV/atom
- Spin magnetization: 0.00 μB/f.u.
- Calculated total energy: -63.059 eV/cell

a = 9.0322 Å, b = 9.0322 Å, c = 5.3912 Å
α = 90.00°, β = 90.00°, γ = 111.18°
Closest atoms and distances in Å follow each position.
Fractional positions:
In: 0.1299 0.8701 0.5000  8 Au 2.85-3.05, 1 Ag 2.99
In: 0.2046 0.4173 0.7993  6 Au 2.83-2.87, 1 Ag 2.95
In: 0.4173 0.2046 0.2993  6 Au 2.83-2.87, 1 Ag 2.95
In: 0.5827 0.7954 0.7993  6 Au 2.83-2.87, 1 Ag 2.95
In: 0.7954 0.5827 0.2993  6 Au 2.83-2.87, 1 Ag 2.95
In: 0.8701 0.1299 0.0000  8 Au 2.85-3.05, 1 Ag 2.99
Ag: 0.3285 0.6715 0.4259  5 Au 2.81-2.97, 3 In 2.95-2.99
Ag: 0.6715 0.3285 0.9259  5 Au 2.81-2.97, 3 In 2.95-2.99
Au: 0.0331 0.4523 0.2197  3 In 2.83-2.99, 1 Ag 2.91, 5 Au 2.92-3.08
Au: 0.1047 0.1839 0.4157  4 In 2.83-3.00, 5 Au 2.92-2.99
Au: 0.1839 0.1047 0.9157  4 In 2.83-3.00, 5 Au 2.92-2.99
Au: 0.2101 0.7899 0.0200  1 Ag 2.81, 2 In 2.85-3.05, 6 Au 2.96-3.08
Au: 0.4523 0.0331 0.7197  3 In 2.83-2.99, 1 Ag 2.91, 5 Au 2.92-3.08
Au: 0.4834 0.5166 0.1056  2 Au 2.74, 4 In 2.86-2.87, 2 Ag 2.88-2.97
Au: 0.5166 0.4834 0.6056  2 Au 2.74, 4 In 2.86-2.87, 2 Ag 2.88-2.97
Au: 0.5477 0.9669 0.2197  3 In 2.83-2.99, 1 Ag 2.91, 5 Au 2.92-3.08
Au: 0.7899 0.2101 0.5200  1 Ag 2.81, 2 In 2.85-3.05, 6 Au 2.96-3.08
Au: 0.8161 0.8953 0.4157  4 In 2.83-3.00, 5 Au 2.92-2.99
Au: 0.8953 0.8161 0.9157  4 In 2.83-3.00, 5 Au 2.92-2.99
Au: 0.9669 0.5477 0.7197  3 In 2.83-2.99, 1 Ag 2.91, 5 Au 2.92-3.08

---

Entry 7:
Density functional theory data (GGA-PBE) for a geometry-optimized InAg4Au8 structure.

Values from the calculation:
- Energy relative to the lowest polymorph listed for this composition: 0 kJ/mol of formula units
- Calculated density: 14.1 g cm⁻³
- Formation enthalpy at 0 K: -0.013 eV/atom
- Spin magnetization: 0.00 μB/f.u.
- Calculated total energy: -40.527 eV/cell

a = 2.9577 Å, b = 4.7306 Å, c = 17.8274 Å
α = 90.00°, β = 90.00°, γ = 90.00°
Closest atoms and distances in Å follow each position.
Fractional positions:
In: 0.0000 0.0000 0.0000  3 Au 2.74-2.81, 2 In 2.96
Ag: 0.0000 0.0000 0.2757  10 Au 2.91-2.95, 2 Ag 2.96
Ag: 0.0000 0.5000 0.4656  10 Au 2.91-2.97, 2 Ag 2.96
Ag: 0.5000 0.0000 0.7043  10 Au 2.90-2.95, 2 Ag 2.96
Ag: 0.5000 0.5000 0.9063  2 Ag 2.96, 6 Au 2.99-3.06, 4 In 3.25
Au: 0.0000 0.0000 0.5610  4 Ag 2.91-2.95, 8 Au 2.93-2.96
Au: 0.0000 0.0000 0.8464  1 In 2.74, 4 Au 2.86-2.96, 6 Ag 2.93-2.99
Au: 0.0000 0.5000 0.1765  8 Au 2.89-2.99, 2 Ag 2.95
Au: 0.0000 0.5000 0.7561  6 Au 2.86-2.99, 6 Ag 2.94-3.06
Au: 0.5000 0.0000 0.1340  2 In 2.81, 6 Au 2.89-2.96, 2 Ag 2.93
Au: 0.5000 0.0000 0.4179  6 Au 2.92-2.96, 6 Ag 2.92-2.94
Au: 0.5000 0.5000 0.3223  6 Ag 2.91-2.95, 6 Au 2.92-2.99
Au: 0.5000 0.5000 0.6104  4 Ag 2.90-2.97, 8 Au 2.93-2.99

---

Entry 8:
Density functional theory data (GGA-PBE) for a geometry-optimized In2Ag2Au7 structure.

Values from the calculation:
- Energy relative to the lowest polymorph listed for this composition: 36 kJ/mol of formula units
- Calculated density: 13.8 g cm⁻³
- Formation enthalpy at 0 K: -0.061 eV/atom
- Spin magnetization: 0.00 μB/f.u.
- Calculated total energy: -34.789 eV/cell

a = 6.9204 Å, b = 6.9204 Å, c = 5.3294 Å
α = 111.18°, β = 111.18°, γ = 90.73°
Closest atoms and distances in Å follow each position.
Fractional positions:
In: 0.1265 0.1265 0.3532  5 Au 2.77-2.94
In: 0.8735 0.8735 0.6468  5 Au 2.77-2.94
Ag: 0.3427 0.6573 0.0000  10 Au 2.89-3.18, 1 Ag 3.10
Ag: 0.6573 0.3427 0.0000  10 Au 2.89-3.18, 1 Ag 3.10
Au: 0.0823 0.5699 0.3295  6 Au 2.81-3.03, 2 Ag 2.89-3.12, 2 In 2.94-3.13
Au: 0.2195 0.2195 0.9409  3 In 2.77-2.89, 5 Au 2.82-2.99, 2 Ag 3.01
Au: 0.4301 0.9177 0.6705  6 Au 2.81-3.03, 2 Ag 2.89-3.12, 2 In 2.94-3.13
Au: 0.5000 0.5000 0.5000  6 Au 2.81-2.82, 4 Ag 3.08
Au: 0.5699 0.0823 0.3295  6 Au 2.81-3.03, 2 Ag 2.89-3.12, 2 In 2.94-3.13
Au: 0.7805 0.7805 0.0591  3 In 2.77-2.89, 5 Au 2.82-2.99, 2 Ag 3.01
Au: 0.9177 0.4301 0.6705  6 Au 2.81-3.03, 2 Ag 2.89-3.12, 2 In 2.94-3.13

---

Entry 9:
Density functional theory data (GGA-PBE) for a geometry-optimized In3AgAu3 structure.

Values from the calculation:
- Energy relative to the lowest polymorph listed for this composition: 43 kJ/mol of formula units
- Calculated density: 9.8 g cm⁻³
- Formation enthalpy at 0 K: -0.062 eV/atom
- Spin magnetization: 0.00 μB/f.u.
- Calculated total energy: -42.668 eV/cell

a = 8.4885 Å, b = 8.4885 Å, c = 5.6653 Å
α = 90.00°, β = 90.00°, γ = 120.00°
Closest atoms and distances in Å follow each position.
Fractional positions:
In: 0.0092 0.6832 0.2500  5 Au 2.74-2.89, 1 Ag 2.94
In: 0.3168 0.3259 0.2500  5 Au 2.74-2.89, 1 Ag 2.94
In: 0.3259 0.0092 0.7500  5 Au 2.74-2.89, 1 Ag 2.94
In: 0.6741 0.9908 0.2500  5 Au 2.74-2.89, 1 Ag 2.94
In: 0.6832 0.6741 0.7500  5 Au 2.74-2.89, 1 Ag 2.94
In: 0.9908 0.3168 0.7500  5 Au 2.74-2.89, 1 Ag 2.94
Ag: 0.3333 0.6667 0.7500  3 Au 2.81, 3 In 2.94
Ag: 0.6667 0.3333 0.2500  3 Au 2.81, 3 In 2.94
Au: 0.0008 0.3390 0.2500  5 In 2.74-2.89, 1 Ag 2.81
Au: 0.3381 0.9992 0.2500  5 In 2.74-2.89, 1 Ag 2.81
Au: 0.3390 0.3381 0.7500  5 In 2.74-2.89, 1 Ag 2.81
Au: 0.6610 0.6619 0.2500  5 In 2.74-2.89, 1 Ag 2.81
Au: 0.6619 0.0008 0.7500  5 In 2.74-2.89, 1 Ag 2.81
Au: 0.9992 0.6610 0.7500  5 In 2.74-2.89, 1 Ag 2.81

---

Entry 10:
Density functional theory data (GGA-PBE) for a geometry-optimized InAg2Au structure.

Values from the calculation:
- Calculated density: 11.5 g cm⁻³
- Formation enthalpy at 0 K: -0.044 eV/atom
- Spin magnetization: 0.00 μB/f.u.
- Calculated total energy: -11.895 eV/cell

a = 5.2363 Å, b = 5.2363 Å, c = 3.0288 Å
α = 90.00°, β = 90.00°, γ = 113.00°
Closest atoms and distances in Å follow each position.
Fractional positions:
In: 0.0000 0.0000 0.0000  2 Au 2.89, 8 Ag 3.02, 2 In 3.03
Ag: 0.0000 0.5000 0.5000  4 Ag 2.89-3.03, 4 In 3.02, 4 Au 3.02
Ag: 0.5000 0.0000 0.5000  4 Ag 2.89-3.03, 4 In 3.02, 4 Au 3.02
Au: 0.5000 0.5000 0.0000  2 In 2.89, 8 Ag 3.02, 2 Au 3.03